Run A
Material: Ho2ErZn
Method: DFT, PBE-GGA
State: optimized geometry

It has space group Fm-3m (No. 225), with a = 7.483 Å, b = 7.483 Å, c = 7.483 Å, α = 90.00°, β = 90.00° and γ = 90.00°. The inequivalent atoms are Ho at (0.250, 0.250, 0.250), Er at (0.000, 0.000, 0.000) and Zn at (0.000, 0.000, 0.500).

---

Run B
Material: Ho2ErZn
Method: DFT, PBE-GGA
State: optimized geometry

It has space group R-3m (No. 166, hexagonal axes), with a = 3.5302 Å, b = 3.5302 Å, c = 30.7686 Å, α = 90.00°, β = 90.00° and γ = 120.00°. The inequivalent atoms are Ho at (0.0000, 0.0000, 0.2398), Er at (0.0000, 0.0000, 0.0000) and Zn at (0.0000, 0.0000, 0.5000).

---

Energies relative to the minimum, eV/atom: run A 0.107; run B 0.000

---

Run A
Material: Ho4ErZn
Method: DFT, PBE-GGA
State: optimized geometry

It has space group C2/c (No. 15), with a = 8.718 Å, b = 13.448 Å, c = 6.173 Å, α = 90.00°, β = 108.59° and γ = 90.00°. The inequivalent atoms are Ho at (0.103, 0.183, 0.048), Ho at (0.223, 0.386, 0.376), Er at (0.000, 0.405, 0.750) and Zn at (0.000, 0.000, 0.250).

---

Run B
Material: Ho4ErZn
Method: DFT, PBE-GGA
State: optimized geometry

It has space group P4/mmm (No. 123), with a = 3.525 Å, b = 3.525 Å, c = 13.587 Å, α = 90.00°, β = 90.00° and γ = 90.00°. The inequivalent atoms are Ho at (0.000, 0.000, 0.131), Ho at (0.500, 0.500, 0.318), Er at (0.000, 0.000, 0.500) and Zn at (0.500, 0.500, 0.000).

---

Energies relative to the minimum, eV/atom: run A 0.104; run B 0.000

---

Run A
Material: Ho2Er3Zn2
Method: DFT, PBE-GGA
State: optimized geometry

It has space group R-3m (No. 166, hexagonal axes), with a = 5.2072 Å, b = 5.2072 Å, c = 22.9796 Å, α = 90.00°, β = 90.00° and γ = 120.00°. The inequivalent atoms are Ho at (0.0000, 0.0000, 0.0798), Er at (0.0000, 0.0000, 0.3429), Er at (0.0000, 0.0000, 0.5000) and Zn at (0.0000, 0.0000, 0.2136).

---

Run B
Material: Ho2Er3Zn2
Method: DFT, PBE-GGA
State: optimized geometry

It has space group Cmmm (No. 65), with a = 3.496 Å, b = 30.362 Å, c = 3.483 Å, α = 90.00°, β = 90.00° and γ = 90.00°. The inequivalent atoms are Ho at (0.000, 0.201, 0.000), Er at (0.000, 0.382, 0.500), Er at (0.000, 0.500, 0.500) and Zn at (0.000, 0.058, 0.000).

---

Energies relative to the minimum, eV/atom: run A 0.000; run B 0.012

---

Run A
Material: HoErZn2
Method: DFT, PBE-GGA
State: optimized geometry

It has space group Fm-3m (No. 225), with a = 7.093 Å, b = 7.093 Å, c = 7.093 Å, α = 90.00°, β = 90.00° and γ = 90.00°. The inequivalent atoms are Ho at (0.000, 0.000, 0.000), Er at (0.000, 0.000, 0.500) and Zn at (0.250, 0.250, 0.250).

---

Run B
Material: HoErZn2
Method: DFT, PBE-GGA
State: optimized geometry

It has space group R-3m (No. 166, hexagonal axes), with a = 3.5670 Å, b = 3.5670 Å, c = 26.7147 Å, α = 90.00°, β = 90.00° and γ = 120.00°. The inequivalent atoms are Ho at (0.0000, 0.0000, 0.0000), Er at (0.0000, 0.0000, 0.5000) and Zn at (0.0000, 0.0000, 0.2497).

---

Energies relative to the minimum, eV/atom: run A 0.000; run B 0.217

---

Run A
Material: Ho6ErZn2
Method: DFT, PBE-GGA
State: optimized geometry

It has space group I4/mmm (No. 139), with a = 4.798 Å, b = 4.798 Å, c = 24.659 Å, α = 90.00°, β = 90.00° and γ = 90.00°. The inequivalent atoms are Ho at (0.000, 0.500, 0.107), Ho at (0.000, 0.500, 0.250), Er at (0.000, 0.000, 0.000) and Zn at (0.000, 0.000, 0.323).

---

Run B
Material: Ho6ErZn2
Method: DFT, PBE-GGA
State: optimized geometry

It has space group C2/m (No. 12), with a = 12.366 Å, b = 3.594 Å, c = 11.683 Å, α = 90.00°, β = 109.58° and γ = 90.00°. The inequivalent atoms are Ho at (0.025, 0.000, 0.328), Ho at (0.185, 0.500, 0.588), Ho at (0.190, 0.500, 0.876), Er at (0.000, 0.000, 0.000) and Zn at (0.149, 0.500, 0.202).

---

Energies relative to the minimum, eV/atom: run A 0.407; run B 0.000

---

Run A
Material: HoEr3Zn2
Method: DFT, PBE-GGA
State: optimized geometry

It has space group P4/mmm (No. 123), with a = 3.535 Å, b = 3.535 Å, c = 12.056 Å, α = 90.00°, β = 90.00° and γ = 90.00°. The inequivalent atoms are Ho at (0.000, 0.000, 0.000), Er at (0.500, 0.500, 0.209), Er at (0.500, 0.500, 0.500) and Zn at (0.000, 0.000, 0.355).

---

Run B
Material: HoEr3Zn2
Method: DFT, PBE-GGA
State: optimized geometry

It has space group Pmc2_1 (No. 26), with a = 4.967 Å, b = 8.986 Å, c = 6.730 Å, α = 90.00°, β = 90.00° and γ = 90.00°. The inequivalent atoms are Ho at (0.000, 0.056, 0.000), Er at (0.000, 0.326, 0.650), Er at (0.500, 0.176, 0.317), Er at (0.500, 0.444, 0.966), Zn at (0.000, 0.351, 0.212) and Zn at (0.500, 0.149, 0.755).

---

Energies relative to the minimum, eV/atom: run A 0.010; run B 0.000